Ta6V2Mo | GGA-PBE | optimized geometry

Total magnetic moment (Bohr magnetons per cell): 0.0
VASP energy (eV/atom): -10.45
Energy relative to the elements (kcal/mol of atoms): 15.8

Geometry as CIF:
```
data_Ta6V2Mo
_chemical_formula_sum 'Ta12 V4 Mo2'
_cell_length_a 4.355
_cell_length_b 6.163
_cell_length_c 13.070
_cell_angle_alpha 90.00
_cell_angle_beta 90.00
_cell_angle_gamma 90.00
_space_group_name_H-M_alt 'I m m m'
_space_group_IT_number 71
_space_group_name_Hall '-I 2 2'
loop_
_atom_site_label
_atom_site_fract_x
_atom_site_fract_y
_atom_site_fract_z
_atom_site_occupancy
Ta1 0.000 0.243 0.000 1
Ta2 0.000 0.253 0.331 1
V1 0.000 0.000 0.167 1
Mo1 0.000 0.000 0.500 1
```



K6CdIn | GGA-PBE | optimized geometry

Total magnetic moment (Bohr magnetons per cell): 0.0
VASP energy (eV/atom): -1.29
Energy relative to the elements (kcal/mol of atoms): -0.3

Geometry as CIF:
```
data_K6CdIn
_chemical_formula_sum 'K12 Cd2 In2'
_cell_length_a 4.983
_cell_length_b 13.189
_cell_length_c 14.267
_cell_angle_alpha 90.00
_cell_angle_beta 90.00
_cell_angle_gamma 90.00
_space_group_name_H-M_alt 'A m m 2'
_space_group_IT_number 38
loop_
_space_group_symop_operation_xyz
'x,y,z'
'-x,-y,z'
'-x,y,z'
'x,-y,z'
'x,y+1/2,z+1/2'
'-x,-y+1/2,z+1/2'
'-x,y+1/2,z+1/2'
'x,-y+1/2,z+1/2'
loop_
_atom_site_label
_atom_site_fract_x
_atom_site_fract_y
_atom_site_fract_z
_atom_site_occupancy
K1 0.000 0.000 0.000 1
K2 0.000 0.166 0.705 1
K3 0.500 0.000 0.268 1
K4 0.500 0.229 0.457 1
Cd1 0.500 0.000 0.585 1
In1 0.000 0.000 0.480 1
```



PmDyFe10 | GGA-PBE | optimized geometry

Total magnetic moment (Bohr magnetons per cell): 19.8
VASP energy (eV/atom): -7.85
Energy relative to the elements (kcal/mol of atoms): -0.3

Geometry as CIF:
```
data_PmDyFe10
_chemical_formula_sum 'Pm1 Dy1 Fe10'
_cell_length_a 3.947
_cell_length_b 5.044
_cell_length_c 8.706
_cell_angle_alpha 90.00
_cell_angle_beta 90.00
_cell_angle_gamma 90.00
_space_group_name_H-M_alt 'P m m m'
_space_group_IT_number 47
loop_
_space_group_symop_operation_xyz
'x,y,z'
'-x,-y,-z'
'-x,-y,z'
'x,y,-z'
'x,-y,-z'
'-x,y,z'
'-x,y,-z'
'x,-y,z'
loop_
_atom_site_label
_atom_site_fract_x
_atom_site_fract_y
_atom_site_fract_z
_atom_site_occupancy
Pm1 0.000 0.000 0.000 1
Dy1 0.000 0.500 0.500 1
Fe1 0.000 0.000 0.336 1
Fe2 0.000 0.500 0.169 1
Fe3 0.500 0.000 0.500 1
Fe4 0.500 0.252 0.253 1
Fe5 0.500 0.500 0.000 1
```



> Look up the energy relative to the elements of the first one.

15.8 kcal/mol of atoms



Copy entry 1 word for word.
Ta6V2Mo | GGA-PBE | optimized geometry

Total magnetic moment (Bohr magnetons per cell): 0.0
VASP energy (eV/atom): -10.45
Energy relative to the elements (kcal/mol of atoms): 15.8

Geometry as CIF:
```
data_Ta6V2Mo
_chemical_formula_sum 'Ta12 V4 Mo2'
_cell_length_a 4.355
_cell_length_b 6.163
_cell_length_c 13.070
_cell_angle_alpha 90.00
_cell_angle_beta 90.00
_cell_angle_gamma 90.00
_space_group_name_H-M_alt 'I m m m'
_space_group_IT_number 71
_space_group_name_Hall '-I 2 2'
loop_
_atom_site_label
_atom_site_fract_x
_atom_site_fract_y
_atom_site_fract_z
_atom_site_occupancy
Ta1 0.000 0.243 0.000 1
Ta2 0.000 0.253 0.331 1
V1 0.000 0.000 0.167 1
Mo1 0.000 0.000 0.500 1
```



> Look up the total magnetic moment of the second one.

0.0 Bohr magnetons per cell